Record 1
Er2Th5Sc4 PBE relaxed; crystal system = triclinic; space-group type = P-1, No. 2; DFT formation energy = 0.0509 eV per atom
1.0
-3.281 -0.923 0.179
6.196 -9.751 -1.698
-6.885 7.530 10.058
Er Th Sc
2 5 4
Cartesian
1.534 -4.951 2.663 Er
-5.505 1.807 5.876 Er
0.706 -2.390 0.585 Th
-1.629 -0.132 1.792 Th
3.098 -4.875 -0.849 Th
-2.341 -3.012 6.747 Th
-4.676 -0.754 7.954 Th
-0.813 -2.725 3.718 Sc
-6.201 4.567 7.406 Sc
-3.157 -0.418 4.821 Sc
2.231 -7.711 1.132 Sc

=====

Record 2
Tb3BiSbS PBE relaxed; crystal system = monoclinic; formation energy (no corrections) = -1.0993 eV per atom; space-group type = P2_1/m, No. 11
1.0
4.470 0.000 0.000
0.000 8.805 0.878
0.000 -2.489 9.360
Tb Bi Sb S
6 2 2 2
Cartesian
1.117 5.813 5.485 Tb
3.352 7.525 2.009 Tb
3.352 3.213 1.695 Tb
3.352 0.502 4.753 Tb
1.117 3.103 8.543 Tb
1.117 -1.209 8.229 Tb
3.352 5.360 8.111 Bi
1.117 0.955 2.127 Bi
1.117 5.304 2.198 Sb
3.352 1.011 8.040 Sb
1.117 -0.524 5.657 S
3.352 6.840 4.581 S

=====

Record 3
BeSbPd PBE relaxed; crystal system = orthorhombic; formation energy (no corrections) = -0.0107 eV per atom; space-group type = Amm2, No. 38
1.0
4.045 0.000 0.000
-2.022 2.903 0.000
0.000 0.000 9.055
Pd Be Sb
2 2 2
Cartesian
2.022 0.443 0.000 Pd
0.000 1.753 4.528 Pd
2.022 0.938 3.429 Be
2.022 0.938 5.627 Be
0.000 1.350 7.249 Sb
0.000 1.350 1.807 Sb

=====

Record 4
Ac6Tl6Co PBE relaxed; crystal system = orthorhombic; space-group type = Cmmm, No. 65; DFT formation energy = -0.0522 eV per atom
1.0
-0.352 -4.309 5.365
6.214 1.197 -2.725
1.432 8.713 7.091
Ac Tl Co
6 6 1
Cartesian
1.095 6.662 5.422 Ac
0.337 2.051 1.669 Ac
4.093 -0.582 -0.111 Ac
1.769 -2.530 2.751 Ac
4.766 3.739 3.487 Ac
2.528 1.862 6.244 Ac
4.172 7.080 3.913 Tl
0.889 4.327 7.958 Tl
4.002 4.964 6.627 Tl
0.191 0.077 4.498 Tl
3.474 2.830 0.454 Tl
3.291 0.637 3.105 Tl
0.000 0.000 0.000 Co

=====

Number 1: size of the total moment 0.000 μB/f.u., E_tot -71.0 eV per cell. Number 2: size of the total moment 0.000 μB/f.u., E_tot -65.2 eV per cell. Number 3: size of the total moment 0.000 μB/f.u., E_tot -26.1 eV per cell. Number 4: size of the total moment 0.430 μB/f.u., E_tot -46.6 eV per cell.